Density functional theory data (PBE) for a geometry-optimized Li5Mg3Cd3 structure.

Calculated values
Polymorph energy (0 for the lowest one) ... 20 meV per atom
Formation energy from the elements ... 0.5 eV per formula unit
Density ... 3.1 g/cm3
Crystal system ... hexagonal
Symmetry ... No. 189

Unit cell a=9.6080 b=9.6080 c=3.0287 alpha=90.00 beta=90.00 gamma=120.00
Last column: nearest neighbours and their distance in Å.
Fractional coordinates of all 11 atoms:
Li (0.0000, 0.8406, 0.0000)  2 Li 2.65, 2 Cd 2.74, 2 Mg 2.83
Li (0.1594, 0.1594, 0.0000)  2 Li 2.65, 2 Cd 2.74, 2 Mg 2.83
Li (0.3333, 0.6667, 0.0000)  2 Li 3.03, 3 Cd 3.22, 6 Mg 3.28
Li (0.6667, 0.3333, 0.0000)  2 Li 3.03, 3 Cd 3.22, 6 Mg 3.28
Li (0.8406, 0.0000, 0.0000)  2 Li 2.65, 2 Cd 2.74, 2 Mg 2.83
Mg (0.0000, 0.5922, 0.5000)  2 Li 2.83, 2 Cd 2.95, 2 Mg 3.03
Mg (0.4078, 0.4078, 0.5000)  2 Li 2.83, 2 Cd 2.95, 2 Mg 3.03
Mg (0.5922, 0.0000, 0.5000)  2 Li 2.83, 2 Cd 2.95, 2 Mg 3.03
Cd (0.0000, 0.3291, 0.0000)  2 Li 2.74, 2 Mg 2.95, 2 Cd 3.03
Cd (0.3291, 0.0000, 0.0000)  2 Li 2.74, 2 Mg 2.95, 2 Cd 3.03
Cd (0.6709, 0.6709, 0.0000)  2 Li 2.74, 2 Mg 2.95, 2 Cd 3.03

Density functional theory data (PBE) for a geometry-optimized Li2Mg5Cd structure.

Calculated values
Polymorph energy (0 for the lowest one) ... 29 meV per atom
Formation energy from the elements ... -0.3 eV per formula unit
Density ... 2.4 g/cm3
Crystal system ... orthorhombic
Symmetry ... No. 62

Unit cell a=14.2414 b=4.7221 c=10.3093 alpha=90.00 beta=90.00 gamma=90.00
Last column: nearest neighbours and their distance in Å.
Fractional coordinates of all 32 atoms:
Li (0.0676, 0.2500, 0.1657)  8 Mg 2.85-3.12, 2 Cd 3.10
Li (0.1601, 0.2500, 0.5415)  6 Mg 2.90-3.21, 1 Cd 3.01
Li (0.3399, 0.7500, 0.0415)  6 Mg 2.90-3.21, 1 Cd 3.01
Li (0.4324, 0.7500, 0.6657)  8 Mg 2.85-3.12, 2 Cd 3.10
Li (0.5676, 0.2500, 0.3343)  8 Mg 2.85-3.12, 2 Cd 3.10
Li (0.6601, 0.2500, 0.9585)  6 Mg 2.90-3.21, 1 Cd 3.01
Li (0.8399, 0.7500, 0.4585)  6 Mg 2.90-3.21, 1 Cd 3.01
Li (0.9324, 0.7500, 0.8343)  8 Mg 2.85-3.12, 2 Cd 3.10
Mg (0.0403, 0.7500, 0.6016)  3 Li 2.85-2.98, 1 Mg 3.10
Mg (0.0914, 0.7500, 0.0066)  3 Li 2.88-2.89, 3 Cd 3.02-3.15, 4 Mg 3.06-3.21
Mg (0.1111, 0.7500, 0.3172)  2 Li 2.90, 1 Cd 2.91, 3 Mg 2.92-3.21
Mg (0.2277, 0.2500, 0.9921)  3 Li 2.90, 6 Mg 2.92-3.23, 1 Cd 2.92
Mg (0.2290, 0.7500, 0.7785)  7 Mg 3.02-3.30, 2 Li 3.12-3.14, 2 Cd 3.26
Mg (0.2710, 0.2500, 0.2785)  7 Mg 3.02-3.30, 2 Li 3.12-3.14, 2 Cd 3.26
Mg (0.2723, 0.7500, 0.4921)  3 Li 2.90, 6 Mg 2.92-3.23, 1 Cd 2.92
Mg (0.3889, 0.2500, 0.8172)  2 Li 2.90, 1 Cd 2.91, 3 Mg 2.92-3.21
Mg (0.4086, 0.2500, 0.5066)  3 Li 2.88-2.89, 3 Cd 3.02-3.15, 4 Mg 3.06-3.21
Mg (0.4597, 0.2500, 0.1016)  3 Li 2.85-2.98, 1 Mg 3.10
Mg (0.5403, 0.7500, 0.8984)  3 Li 2.85-2.98, 1 Mg 3.10
Mg (0.5914, 0.7500, 0.4934)  3 Li 2.88-2.89, 3 Cd 3.02-3.15, 4 Mg 3.06-3.21
Mg (0.6111, 0.7500, 0.1828)  2 Li 2.90, 1 Cd 2.91, 3 Mg 2.92-3.21
Mg (0.7277, 0.2500, 0.5079)  3 Li 2.90, 6 Mg 2.92-3.23, 1 Cd 2.92
Mg (0.7290, 0.7500, 0.7215)  7 Mg 3.02-3.30, 2 Li 3.12-3.14, 2 Cd 3.26
Mg (0.7710, 0.2500, 0.2215)  7 Mg 3.02-3.30, 2 Li 3.12-3.14, 2 Cd 3.26
Mg (0.7723, 0.7500, 0.0079)  3 Li 2.90, 6 Mg 2.92-3.23, 1 Cd 2.92
Mg (0.8889, 0.2500, 0.6828)  2 Li 2.90, 1 Cd 2.91, 3 Mg 2.92-3.21
Mg (0.9086, 0.2500, 0.9934)  3 Li 2.88-2.89, 3 Cd 3.02-3.15, 4 Mg 3.06-3.21
Mg (0.9597, 0.2500, 0.3984)  3 Li 2.85-2.98, 1 Mg 3.10
Cd (0.0724, 0.2500, 0.8068)  7 Mg 2.91-3.20, 3 Li 3.01-3.10
Cd (0.4276, 0.7500, 0.3068)  7 Mg 2.91-3.20, 3 Li 3.01-3.10
Cd (0.5724, 0.2500, 0.6932)  7 Mg 2.91-3.20, 3 Li 3.01-3.10
Cd (0.9276, 0.7500, 0.1932)  7 Mg 2.91-3.20, 3 Li 3.01-3.10

Density functional theory data (PBE) for a geometry-optimized Li9Mg4Cd structure.

Calculated values
Formation energy from the elements ... 0.0 eV per formula unit
Density ... 1.4 g/cm3
Crystal system ... hexagonal
Symmetry ... No. 194

Unit cell a=8.8358 b=8.8358 c=9.3651 alpha=90.00 beta=90.00 gamma=120.00
Last column: nearest neighbours and their distance in Å.
Fractional coordinates of all 28 atoms:
Li (0.0751, 0.5375, 0.2500)  2 Mg 2.88, 1 Cd 3.13
Li (0.2006, 0.4013, 0.5466)  1 Cd 2.78, 2 Mg 3.06-3.10
Li (0.2006, 0.4013, 0.9534)  1 Cd 2.78, 2 Mg 3.06-3.10
Li (0.2006, 0.7994, 0.5466)  1 Cd 2.78, 2 Mg 3.06-3.10
Li (0.2006, 0.7994, 0.9534)  1 Cd 2.78, 2 Mg 3.06-3.10
Li (0.4013, 0.2006, 0.0466)  1 Cd 2.78, 2 Mg 3.06-3.10
Li (0.4013, 0.2006, 0.4534)  1 Cd 2.78, 2 Mg 3.06-3.10
Li (0.4625, 0.5375, 0.2500)  2 Mg 2.88, 1 Cd 3.13
Li (0.4625, 0.9249, 0.2500)  2 Mg 2.88, 1 Cd 3.13
Li (0.5375, 0.0751, 0.7500)  2 Mg 2.88, 1 Cd 3.13
Li (0.5375, 0.4625, 0.7500)  2 Mg 2.88, 1 Cd 3.13
Li (0.5987, 0.7994, 0.5466)  1 Cd 2.78, 2 Mg 3.06-3.10
Li (0.5987, 0.7994, 0.9534)  1 Cd 2.78, 2 Mg 3.06-3.10
Li (0.7994, 0.2006, 0.0466)  1 Cd 2.78, 2 Mg 3.06-3.10
Li (0.7994, 0.2006, 0.4534)  1 Cd 2.78, 2 Mg 3.06-3.10
Li (0.7994, 0.5987, 0.0466)  1 Cd 2.78, 2 Mg 3.06-3.10
Li (0.7994, 0.5987, 0.4534)  1 Cd 2.78, 2 Mg 3.06-3.10
Li (0.9249, 0.4625, 0.7500)  2 Mg 2.88, 1 Cd 3.13
Mg (0.0000, 0.0000, 0.0000)  6 Mg 2.95, 6 Li 3.10
Mg (0.0000, 0.0000, 0.5000)  6 Mg 2.95, 6 Li 3.10
Mg (0.1176, 0.2351, 0.2500)  4 Li 2.88-3.06, 4 Mg 2.95-3.12
Mg (0.1176, 0.8824, 0.2500)  4 Li 2.88-3.06, 4 Mg 2.95-3.12
Mg (0.2351, 0.1176, 0.7500)  4 Li 2.88-3.06, 4 Mg 2.95-3.12
Mg (0.7649, 0.8824, 0.2500)  4 Li 2.88-3.06, 4 Mg 2.95-3.12
Mg (0.8824, 0.1176, 0.7500)  4 Li 2.88-3.06, 4 Mg 2.95-3.12
Mg (0.8824, 0.7649, 0.7500)  4 Li 2.88-3.06, 4 Mg 2.95-3.12
Cd (0.3333, 0.6667, 0.7500)  6 Li 2.78
Cd (0.6667, 0.3333, 0.2500)  6 Li 2.78

Density functional theory data (PBE) for a geometry-optimized LiMg3Cd3 structure.

Calculated values
Polymorph energy (0 for the lowest one) ... 0 meV per atom
Formation energy from the elements ... -0.7 eV per formula unit
Density ... 4.6 g/cm3
Crystal system ... trigonal
Symmetry ... No. 148

Unit cell a=6.9974 b=6.9974 c=6.9974 alpha=71.38 beta=71.38 gamma=71.38
Last column: nearest neighbours and their distance in Å.
Fractional coordinates of all 14 atoms:
Li (0.2388, 0.2388, 0.2388)  6 Cd 3.02-3.04, 6 Mg 3.09-3.28
Li (0.7612, 0.7612, 0.7612)  6 Cd 3.02-3.04, 6 Mg 3.09-3.28
Mg (0.1754, 0.4565, 0.6131)  5 Cd 3.04-3.11, 2 Li 3.09-3.28, 5 Mg 3.13-3.20
Mg (0.3869, 0.8246, 0.5435)  5 Cd 3.04-3.11, 2 Li 3.09-3.28, 5 Mg 3.13-3.20
Mg (0.4565, 0.6131, 0.1754)  5 Cd 3.04-3.11, 2 Li 3.09-3.28, 5 Mg 3.13-3.20
Mg (0.5435, 0.3869, 0.8246)  5 Cd 3.04-3.11, 2 Li 3.09-3.28, 5 Mg 3.13-3.20
Mg (0.6131, 0.1754, 0.4565)  5 Cd 3.04-3.11, 2 Li 3.09-3.28, 5 Mg 3.13-3.20
Mg (0.8246, 0.5435, 0.3869)  5 Cd 3.04-3.11, 2 Li 3.09-3.28, 5 Mg 3.13-3.20
Cd (0.0354, 0.8869, 0.3309)  2 Li 3.02-3.04, 5 Mg 3.04-3.11, 5 Cd 3.08-3.20
Cd (0.1131, 0.6691, 0.9646)  2 Li 3.02-3.04, 5 Mg 3.04-3.11, 5 Cd 3.08-3.20
Cd (0.3309, 0.0354, 0.8869)  2 Li 3.02-3.04, 5 Mg 3.04-3.11, 5 Cd 3.08-3.20
Cd (0.6691, 0.9646, 0.1131)  2 Li 3.02-3.04, 5 Mg 3.04-3.11, 5 Cd 3.08-3.20
Cd (0.8869, 0.3309, 0.0354)  2 Li 3.02-3.04, 5 Mg 3.04-3.11, 5 Cd 3.08-3.20
Cd (0.9646, 0.1131, 0.6691)  2 Li 3.02-3.04, 5 Mg 3.04-3.11, 5 Cd 3.08-3.20

Density functional theory data (PBE) for a geometry-optimized Li6MgCd12 structure.

Calculated values
Formation energy from the elements ... -3.2 eV per formula unit
Density ... 6.1 g/cm3
Crystal system ... trigonal
Symmetry ... No. 148

Unit cell a=7.2642 b=7.2642 c=7.2642 alpha=90.41 beta=90.41 gamma=90.41
Last column: nearest neighbours and their distance in Å.
Fractional coordinates of all 19 atoms:
Li (0.2247, 0.6137, 0.7719)  8 Cd 2.89-3.12, 1 Mg 2.94, 2 Li 3.04
Li (0.2281, 0.7753, 0.3863)  8 Cd 2.89-3.12, 1 Mg 2.94, 2 Li 3.04
Li (0.3863, 0.2281, 0.7753)  8 Cd 2.89-3.12, 1 Mg 2.94, 2 Li 3.04
Li (0.6137, 0.7719, 0.2247)  8 Cd 2.89-3.12, 1 Mg 2.94, 2 Li 3.04
Li (0.7719, 0.2247, 0.6137)  8 Cd 2.89-3.12, 1 Mg 2.94, 2 Li 3.04
Li (0.7753, 0.3863, 0.2281)  8 Cd 2.89-3.12, 1 Mg 2.94, 2 Li 3.04
Mg (0.5000, 0.5000, 0.5000)  6 Li 2.94, 6 Cd 2.94
Cd (0.0291, 0.3037, 0.9284)  4 Li 2.89-2.99, 5 Cd 2.95-3.19
Cd (0.0716, 0.9709, 0.6963)  4 Li 2.89-2.99, 5 Cd 2.95-3.19
Cd (0.1262, 0.3439, 0.4731)  4 Li 2.90-3.12, 1 Mg 2.94, 5 Cd 2.95-3.19
Cd (0.3037, 0.9284, 0.0291)  4 Li 2.89-2.99, 5 Cd 2.95-3.19
Cd (0.3439, 0.4731, 0.1262)  4 Li 2.90-3.12, 1 Mg 2.94, 5 Cd 2.95-3.19
Cd (0.4731, 0.1262, 0.3439)  4 Li 2.90-3.12, 1 Mg 2.94, 5 Cd 2.95-3.19
Cd (0.5269, 0.8738, 0.6561)  4 Li 2.90-3.12, 1 Mg 2.94, 5 Cd 2.95-3.19
Cd (0.6561, 0.5269, 0.8738)  4 Li 2.90-3.12, 1 Mg 2.94, 5 Cd 2.95-3.19
Cd (0.6963, 0.0716, 0.9709)  4 Li 2.89-2.99, 5 Cd 2.95-3.19
Cd (0.8738, 0.6561, 0.5269)  4 Li 2.90-3.12, 1 Mg 2.94, 5 Cd 2.95-3.19
Cd (0.9284, 0.0291, 0.3037)  4 Li 2.89-2.99, 5 Cd 2.95-3.19
Cd (0.9709, 0.6963, 0.0716)  4 Li 2.89-2.99, 5 Cd 2.95-3.19

Density functional theory data (PBE) for a geometry-optimized Li4Mg3Cd2 structure.

Calculated values
Polymorph energy (0 for the lowest one) ... 0 meV per atom
Formation energy from the elements ... -1.4 eV per formula unit
Density ... 3.1 g/cm3
Crystal system ... monoclinic
Symmetry ... No. 12

Unit cell a=4.7656 b=4.7656 c=8.7611 alpha=90.16 beta=90.16 gamma=60.07
Last column: nearest neighbours and their distance in Å.
Fractional coordinates of all 9 atoms:
Li (0.0002, 0.0002, 0.1705)  4 Mg 2.88-2.89, 3 Cd 2.90, 1 Li 2.99
Li (0.9998, 0.9998, 0.8295)  4 Mg 2.88-2.89, 3 Cd 2.90, 1 Li 2.99
Li (0.3334, 0.3334, 0.3970)  4 Mg 2.84-2.90, 4 Cd 2.89-2.96
Li (0.6666, 0.6666, 0.6030)  4 Mg 2.84-2.90, 4 Cd 2.89-2.96
Mg (0.0000, 0.0000, 0.5000)  8 Li 2.89-2.90
Mg (0.3335, 0.3335, 0.0734)  4 Li 2.84-2.88, 1 Cd 3.04, 3 Mg 3.04
Mg (0.6665, 0.6665, 0.9266)  4 Li 2.84-2.88, 1 Cd 3.04, 3 Mg 3.04
Cd (0.3330, 0.3330, 0.7267)  7 Li 2.89-2.96, 1 Mg 3.04
Cd (0.6670, 0.6670, 0.2733)  7 Li 2.89-2.96, 1 Mg 3.04

Density functional theory data (PBE) for a geometry-optimized Li4MgCd5 structure.

Calculated values
Formation energy from the elements ... -2.4 eV per formula unit
Density ... 5.4 g/cm3
Crystal system ... tetragonal
Symmetry ... No. 123

Unit cell a=3.3877 b=3.3877 c=16.4721 alpha=90.00 beta=90.00 gamma=90.00
Last column: nearest neighbours and their distance in Å.
Fractional coordinates of all 10 atoms:
Li (0.0000, 0.0000, 0.0964)  8 Cd 2.87, 2 Li 3.17-3.18
Li (0.0000, 0.0000, 0.2897)  8 Cd 2.86-2.88, 1 Li 3.18
Li (0.0000, 0.0000, 0.7103)  8 Cd 2.86-2.88, 1 Li 3.18
Li (0.0000, 0.0000, 0.9036)  8 Cd 2.87, 2 Li 3.17-3.18
Mg (0.0000, 0.0000, 0.5000)  8 Cd 3.06, 4 Mg 3.39
Cd (0.5000, 0.5000, 0.0000)  8 Li 2.87, 2 Cd 3.17
Cd (0.5000, 0.5000, 0.1924)  8 Li 2.87-2.88, 2 Cd 3.17
Cd (0.5000, 0.5000, 0.3846)  4 Li 2.86, 4 Mg 3.06, 1 Cd 3.17
Cd (0.5000, 0.5000, 0.6154)  4 Li 2.86, 4 Mg 3.06, 1 Cd 3.17
Cd (0.5000, 0.5000, 0.8076)  8 Li 2.87-2.88, 2 Cd 3.17

Density functional theory data (PBE) for a geometry-optimized Li2MgCd8 structure.

Calculated values
Polymorph energy (0 for the lowest one) ... 0 meV per atom
Formation energy from the elements ... -1.3 eV per formula unit
Density ... 6.8 g/cm3
Crystal system ... orthorhombic
Symmetry ... No. 71

Unit cell a=8.0309 b=8.0309 c=8.0309 alpha=145.72 beta=126.99 gamma=64.66
Last column: nearest neighbours and their distance in Å.
Fractional coordinates of all 11 atoms:
Li (0.1950, 0.1950, 0.0000)  10 Cd 2.88-3.06
Li (0.8050, 0.8050, 0.0000)  10 Cd 2.88-3.06
Mg (0.5000, 0.5000, 0.0000)  8 Cd 2.89-3.19
Cd (0.0622, 0.3528, 0.7095)  3 Li 2.88-2.99, 1 Mg 2.89, 6 Cd 2.99-3.16
Cd (0.2026, 0.0000, 0.2026)  7 Cd 2.91-3.10, 2 Li 3.02, 2 Mg 3.19
Cd (0.3376, 0.8376, 0.5000)  8 Cd 2.99-3.16, 2 Li 3.06, 2 Mg 3.23
Cd (0.3567, 0.6472, 0.7095)  3 Li 2.88-2.99, 1 Mg 2.89, 6 Cd 2.99-3.16
Cd (0.6433, 0.3528, 0.2905)  3 Li 2.88-2.99, 1 Mg 2.89, 6 Cd 2.99-3.16
Cd (0.6624, 0.1624, 0.5000)  8 Cd 2.99-3.16, 2 Li 3.06, 2 Mg 3.23
Cd (0.7974, 0.0000, 0.7974)  7 Cd 2.91-3.10, 2 Li 3.02, 2 Mg 3.19
Cd (0.9378, 0.6472, 0.2905)  3 Li 2.88-2.99, 1 Mg 2.89, 6 Cd 2.99-3.16